The following is a DFT calculation (PBE) of a relaxed structure of K2GaSb2.

Structure (CIF):
```
data_K2GaSb2
_chemical_formula_sum 'K4 Ga2 Sb4'
_cell_length_a 4.813
_cell_length_b 7.462
_cell_length_c 10.502
_cell_angle_alpha 91.34
_cell_angle_beta 76.75
_cell_angle_gamma 71.19
_space_group_name_H-M_alt 'P 1'
_space_group_IT_number 1
_space_group_name_Hall 'P 1'
loop_
_atom_site_label
_atom_site_type_symbol
_atom_site_fract_x
_atom_site_fract_y
_atom_site_fract_z
K1 K 0.655 0.354 0.335
K2 K 0.080 0.745 0.095
K3 K 0.920 0.255 0.905
K4 K 0.345 0.646 0.665
Sb1 Sb 0.095 0.230 0.579
Sb2 Sb 0.905 0.770 0.421
Sb3 Sb 0.627 0.867 0.880
Sb4 Sb 0.373 0.133 0.120
Ga1 Ga 0.659 0.041 0.641
Ga2 Ga 0.341 0.959 0.359
```

Computed properties:
D(E_F)   2.41 states/eV per cell
Total magnetization   0.0 μB per cell
SG   C2/m (12)
Energy relative to the elements, uncorrected   -0.342 eV per atom
E_tot   -3.035 eV/atom